A | A plane-wave DFT calculation with GGA-PBE was carried out for an optimized crystal structure of Ca2MgMnN.

a = 5.2004 Å, b = 5.2004 Å, c = 3.8132 Å
α = 90.00°, β = 90.00°, γ = 90.00°
With the nearest neighbours (Å) after each atom.
Space group P4/mmm (No. 123)
One atom of each set of equivalent atoms:
Ca (0.0000, 0.5000, 0.0000) [2 per cell]  2 N 2.60
Mg (0.0000, 0.0000, 0.5000) [1 per cell]  8 Ca 3.22
Mn (0.5000, 0.5000, 0.5000) [1 per cell]  2 N 1.91
N (0.5000, 0.5000, 0.0000) [1 per cell]  2 Mn 1.91

- Total magnetization: 0.501 μB per atom


B | A plane-wave DFT calculation with GGA-PBE was carried out for an optimized crystal structure of Ca2MgMnN.

a = 5.8245 Å, b = 5.8245 Å, c = 4.7151 Å
α = 90.00°, β = 90.00°, γ = 90.00°
With the nearest neighbours (Å) after each atom.
Space group P4/mmm (No. 123)
One atom of each set of equivalent atoms:
Ca (0.0000, 0.5000, 0.0000) [2 per cell]  2 Mg 2.91
Mg (0.0000, 0.0000, 0.0000) [1 per cell]  2 Mn 2.36
Mn (0.0000, 0.0000, 0.5000) [1 per cell]  2 Mg 2.36
N (0.5000, 0.5000, 0.5000) [1 per cell]  8 Ca 3.75, 4 Mn 4.12

- Total magnetization: 0.948 μB per atom


Energies, relative to the best one, in meV per atom: A 0; B 1808.


A | A plane-wave DFT calculation with GGA-PBE was carried out for an optimized crystal structure of CaMgMo3.

a = 4.6941 Å, b = 4.6941 Å, c = 4.6941 Å
α = 90.00°, β = 90.00°, γ = 90.00°
With the nearest neighbours (Å) after each atom.
Space group Pm-3m (No. 221)
One atom of each set of equivalent atoms:
Ca (0.0000, 0.0000, 0.0000) [1 per cell]  6 Mo 2.35
Mg (0.5000, 0.5000, 0.5000) [1 per cell]  12 Mo 3.32
Mo (0.0000, 0.0000, 0.5000) [3 per cell]  2 Ca 2.35

- Total magnetization: 0.000 μB per atom


B | A plane-wave DFT calculation with GGA-PBE was carried out for an optimized crystal structure of CaMgMo3.

a = 4.7739 Å, b = 4.7739 Å, c = 4.7739 Å
α = 90.00°, β = 90.00°, γ = 90.00°
With the nearest neighbours (Å) after each atom.
Space group Pm-3m (No. 221)
One atom of each set of equivalent atoms:
Ca (0.0000, 0.0000, 0.0000) [1 per cell]  12 Mo 3.38
Mg (0.5000, 0.5000, 0.5000) [1 per cell]  6 Mo 2.39
Mo (0.0000, 0.5000, 0.5000) [3 per cell]  2 Mg 2.39

- Total magnetization: 0.455 μB per atom


Energies, relative to the best one, in meV per atom: A 498; B 0.


A | A plane-wave DFT calculation with GGA-PBE was carried out for an optimized crystal structure of CaMgMo.

a = 7.0935 Å, b = 7.0935 Å, c = 7.0935 Å
α = 90.00°, β = 90.00°, γ = 90.00°
With the nearest neighbours (Å) after each atom.
Space group F-43m (No. 216)
One atom of each set of equivalent atoms:
Ca (0.0000, 0.0000, 0.0000) [4 per cell]  4 Mg 3.07, 4 Mo 3.07
Mg (0.2500, 0.2500, 0.2500) [4 per cell]  4 Ca 3.07
Mo (0.2500, 0.2500, 0.7500) [4 per cell]  4 Ca 3.07

- Total magnetization: 1.214 μB per atom


B | A plane-wave DFT calculation with GGA-PBE was carried out for an optimized crystal structure of CaMgMo.

a = 2.9450 Å, b = 4.2161 Å, c = 10.5871 Å
α = 90.00°, β = 90.00°, γ = 90.00°
With the nearest neighbours (Å) after each atom.
Space group Imm2 (No. 44)
One atom of each set of equivalent atoms:
Ca (0.0000, 0.0000, 0.0000) [2 per cell]  2 Ca 2.95, 4 Mo 3.22, 5 Mg 3.24-3.29
Mg (0.0000, 0.0000, 0.6938) [2 per cell]  4 Mo 2.88, 2 Mg 2.95
Mo (0.0000, 0.0000, 0.3169) [2 per cell]  4 Mg 2.88, 2 Mo 2.95, 4 Ca 3.22

- Total magnetization: 0.000 μB per atom


C | A plane-wave DFT calculation with GGA-PBE was carried out for an optimized crystal structure of CaMgMo.

a = 7.0408 Å, b = 7.0408 Å, c = 7.0408 Å
α = 90.00°, β = 90.00°, γ = 90.00°
With the nearest neighbours (Å) after each atom.
Space group F-43m (No. 216)
One atom of each set of equivalent atoms:
Ca (0.0000, 0.0000, 0.0000) [4 per cell]  4 Mo 3.05
Mg (0.0000, 0.0000, 0.5000) [4 per cell]  4 Mo 3.05
Mo (0.2500, 0.2500, 0.7500) [4 per cell]  4 Mg 3.05, 4 Ca 3.05

- Total magnetization: 1.178 μB per atom


D | A plane-wave DFT calculation with GGA-PBE was carried out for an optimized crystal structure of CaMgMo.

a = 2.9200 Å, b = 2.9200 Å, c = 15.1008 Å
α = 90.00°, β = 90.00°, γ = 90.00°
With the nearest neighbours (Å) after each atom.
Space group I4mm (No. 107)
One atom of each set of equivalent atoms:
Ca (0.0000, 0.0000, 0.0000) [2 per cell]  4 Ca 2.92, 4 Mo 3.22
Mg (0.0000, 0.0000, 0.3063) [2 per cell]  4 Mg 2.92, 4 Mo 2.99
Mo (0.0000, 0.0000, 0.6634) [2 per cell]  4 Mo 2.92, 4 Mg 2.99, 4 Ca 3.22

- Total magnetization: 0.000 μB per atom


Energies, relative to the best one, in meV per atom: A 950; B 118; C 627; D 0.


A | A plane-wave DFT calculation with GGA-PBE was carried out for an optimized crystal structure of CaMgZnN2.

a = 5.6969 Å, b = 4.6270 Å, c = 5.8575 Å
α = 90.00°, β = 98.35°, γ = 90.00°
With the nearest neighbours (Å) after each atom.
Space group P2/c (No. 13)
One atom of each set of equivalent atoms:
Ca (0.0000, 0.2105, 0.2500) [2 per cell]  4 N 2.41-2.69
Mg (0.5000, 0.0142, 0.7500) [2 per cell]  4 N 2.15-2.16
Zn (0.5000, 0.5000, 0.0000) [2 per cell]  2 N 1.87
N (0.2749, 0.2033, 0.9732) [4 per cell]  1 Zn 1.87

- Total magnetization: 0.000 μB per atom


B | A plane-wave DFT calculation with GGA-PBE was carried out for an optimized crystal structure of CaMgZnN2.

a = 4.1601 Å, b = 4.1601 Å, c = 5.0099 Å
α = 90.00°, β = 90.00°, γ = 90.00°
With the nearest neighbours (Å) after each atom.
Space group P4/mmm (No. 123)
One atom of each set of equivalent atoms:
Ca (0.0000, 0.0000, 0.0000) [1 per cell]  2 Zn 2.50
Mg (0.5000, 0.5000, 0.0000) [1 per cell]  4 Ca 2.94, 8 N 3.26
Zn (0.0000, 0.0000, 0.5000) [1 per cell]  4 N 2.08
N (0.0000, 0.5000, 0.5000) [2 per cell]  2 Zn 2.08

- Total magnetization: 0.322 μB per atom


Energies, relative to the best one, in meV per atom: A 0; B 1726.


A | A plane-wave DFT calculation with GGA-PBE was carried out for an optimized crystal structure of NaCaMg2.

a = 3.8493 Å, b = 3.8493 Å, c = 8.0727 Å
α = 90.00°, β = 90.00°, γ = 90.00°
With the nearest neighbours (Å) after each atom.
Space group P4/mmm (No. 123)
One atom of each set of equivalent atoms:
Na (0.0000, 0.0000, 0.0000) [1 per cell]  8 Mg 3.33
Ca (0.0000, 0.0000, 0.5000) [1 per cell]  8 Mg 3.45, 4 Ca 3.85
Mg (0.5000, 0.5000, 0.2374) [2 per cell]  4 Na 3.33, 4 Ca 3.45

- Total magnetization: 0.000 μB per atom


B | A plane-wave DFT calculation with GGA-PBE was carried out for an optimized crystal structure of NaCaMg2.

a = 4.6733 Å, b = 4.6733 Å, c = 23.4585 Å
α = 90.00°, β = 90.00°, γ = 90.00°
With the nearest neighbours (Å) after each atom.
Space group I-42d (No. 122)
One atom of each set of equivalent atoms:
Na (0.0000, 0.0000, 0.0000) [4 per cell]  4 Ca 3.30, 4 Mg 3.35
Ca (0.0000, 0.0000, 0.5000) [4 per cell]  4 Na 3.30, 4 Mg 3.39
Mg (0.2374, 0.2500, 0.1250) [8 per cell]  4 Mg 3.22-3.39, 2 Na 3.35, 2 Ca 3.39

- Total magnetization: 0.000 μB per atom


Energies, relative to the best one, in meV per atom: A 0; B 208.


A | A plane-wave DFT calculation with GGA-PBE was carried out for an optimized crystal structure of NaCa4Mg.

a = 3.9647 Å, b = 3.9647 Å, c = 14.2759 Å
α = 90.00°, β = 90.00°, γ = 90.00°
With the nearest neighbours (Å) after each atom.
Space group P4/mmm (No. 123)
One atom of each set of equivalent atoms:
Na (0.0000, 0.0000, 0.0000) [1 per cell]  8 Ca 3.76, 4 Na 3.96
Ca (0.0000, 0.0000, 0.3635) [2 per cell]  4 Mg 3.41
Ca (0.5000, 0.5000, 0.1752) [2 per cell]  4 Na 3.76, 8 Ca 3.88-3.96
Mg (0.5000, 0.5000, 0.5000) [1 per cell]  8 Ca 3.41

- Total magnetization: 0.000 μB per atom


B | A plane-wave DFT calculation with GGA-PBE was carried out for an optimized crystal structure of NaCa4Mg.

a = 5.6165 Å, b = 14.1190 Å, c = 5.6117 Å
α = 90.00°, β = 90.00°, γ = 90.00°
With the nearest neighbours (Å) after each atom.
Space group Cmmm (No. 65)
One atom of each set of equivalent atoms:
Na (0.0000, 0.0000, 0.0000) [2 per cell]  8 Ca 3.55, 4 Mg 3.97
Ca (0.0000, 0.1543, 0.5000) [4 per cell]  2 Na 3.55, 2 Mg 3.55, 8 Ca 3.90-3.97
Ca (0.0000, 0.3467, 0.0000) [4 per cell]  2 Mg 3.54, 2 Na 3.55, 4 Ca 3.91-3.92
Mg (0.0000, 0.5000, 0.5000) [2 per cell]  8 Ca 3.54-3.55

- Total magnetization: 0.000 μB per atom


Energies, relative to the best one, in meV per atom: A 0; B 13.